Record 1
This record from the Alexandria database describes a relaxed Ba2UInTe5 crystal. The functional is PBE-GGA.

Structure (POSCAR):
```
Ba2UInTe5
1.0
-3.275 1.896 2.713
6.368 -4.449 6.799
7.692 12.186 0.769
Ba U In Te
4 2 2 10
Direct
0.863 0.727 0.808 Ba
0.116 0.233 0.694 Ba
0.137 0.273 0.308 Ba
0.884 0.767 0.194 Ba
0.792 0.584 0.509 U
0.208 0.416 0.009 U
0.512 0.025 0.960 In
0.488 0.975 0.460 In
0.363 0.727 0.004 Te
0.689 0.378 0.866 Te
0.493 0.987 0.768 Te
0.289 0.579 0.653 Te
0.946 0.891 0.561 Te
0.637 0.273 0.504 Te
0.311 0.622 0.366 Te
0.507 0.013 0.268 Te
0.711 0.421 0.153 Te
0.054 0.109 0.061 Te
```

Output
Calculated volume (A^3/atom): 37.548
Energy relative to the elements, uncorrected (eV per atom): -1.05
Fermi-level density of states (states/eV/cell): 12.25



Record 2
This record from the Alexandria database describes a relaxed Nd2GaNi3 crystal. The functional is PBE-GGA.

Structure (POSCAR):
```
Nd2GaNi3
1.0
-1.810 5.157 -1.729
-2.738 0.255 5.030
8.022 0.309 1.326
Nd Ga Ni
4 2 6
Direct
0.250 0.750 0.500 Nd
0.757 0.757 0.000 Nd
0.750 0.250 0.500 Nd
0.243 0.243 0.000 Nd
0.667 0.667 0.333 Ga
0.333 0.333 0.667 Ga
0.333 0.833 0.167 Ni
0.167 0.667 0.833 Ni
0.667 0.167 0.833 Ni
0.833 0.333 0.167 Ni
0.165 0.165 0.330 Ni
0.835 0.835 0.670 Ni
```

Output
Formation enthalpy at 0 K (eV/atom): -0.404
Calculated volume (A^3/atom): 19.501
E above lowest polymorph (eV/f.u.): 0.061
Fermi-level density of states (states/eV/cell): 9.31